First-principles (GGA-PBE) data for a relaxed La5Pr2ThHg2 crystal, as listed in Alexandria.

Results
- Electronic total energy: -85.63 eV/cell
- Space-group type: No. 127

a b c (Å): 3.821 13.655 13.655
angles (deg): 90.00 90.00 90.00
Fractional positions:
La 0.500 0.205 0.043
La 0.500 0.795 0.957
La 0.500 0.043 0.795
La 0.500 0.705 0.457
La 0.500 0.957 0.205
La 0.500 0.295 0.543
La 0.500 0.543 0.705
La 0.500 0.457 0.295
La 0.500 0.500 0.000
La 0.500 0.000 0.500
Pr 0.000 0.684 0.184
Pr 0.000 0.316 0.816
Pr 0.000 0.184 0.316
Pr 0.000 0.816 0.684
Th 0.000 0.000 0.000
Th 0.000 0.500 0.500
Hg 0.000 0.132 0.632
Hg 0.000 0.868 0.368
Hg 0.000 0.632 0.868
Hg 0.000 0.368 0.132